1.
The following is a DFT calculation (PBE) of crystalline RbIn2ReGe at its relaxed geometry.

Cell lengths 5.3436, 5.3436, 4.8951 Å; angles 90.00, 90.00, 90.00 degrees
With the nearest neighbours (Å) after each atom.
Fractional coordinates of all 5 atoms:
Rb 0.0000 0.0000 0.0000  8 In 3.62, 4 Ge 3.78
In 0.0000 0.5000 0.5000  2 Re 2.67
In 0.5000 0.0000 0.5000  2 Re 2.67
Re 0.5000 0.5000 0.5000  2 Ge 2.45, 4 In 2.67
Ge 0.5000 0.5000 0.0000  2 Re 2.45

Calculated values
**SG**: P4/mmm, No. 123
**Uncorrected energy**: -4.653 eV per atom
**Total magnetization**: 0.000 μB/atom
**Energy relative to the elements**: 0.05 eV per atom


2.
The following is a DFT calculation (PBE) of crystalline RbIn2GeRh at its relaxed geometry.

Cell lengths 5.2842, 5.2842, 4.9089 Å; angles 90.00, 90.00, 90.00 degrees
With the nearest neighbours (Å) after each atom.
Fractional coordinates of all 5 atoms:
Rb 0.0000 0.0000 0.0000  8 In 3.61, 4 Ge 3.74
In 0.0000 0.5000 0.5000  2 Rh 2.64
In 0.5000 0.0000 0.5000  2 Rh 2.64
Ge 0.5000 0.5000 0.0000  2 Rh 2.45
Rh 0.5000 0.5000 0.5000  2 Ge 2.45, 4 In 2.64

Calculated values
**SG**: P4/mmm, No. 123
**Uncorrected energy**: -3.762 eV per atom
**Total magnetization**: 0.000 μB/atom
**Energy relative to the elements**: -0.08 eV per atom


3.
The following is a DFT calculation (PBE) of crystalline Rb2InGeS4 at its relaxed geometry.

Cell lengths 13.8035, 12.2173, 7.8148 Å; angles 84.05, 61.68, 34.27 degrees
With the nearest neighbours (Å) after each atom.
Fractional coordinates of all 16 atoms:
Rb 0.0556 0.0556 0.6944  8 S 3.64-3.87
Rb 0.3056 0.3056 0.9444  8 S 3.64-3.87
Rb 0.6944 0.6944 0.0556  8 S 3.64-3.87
Rb 0.9444 0.9444 0.3056  8 S 3.64-3.87
In 0.1250 0.1250 0.1250  4 S 2.48
In 0.8750 0.8750 0.8750  4 S 2.48
Ge 0.3750 0.3750 0.3750  4 S 2.44
Ge 0.6250 0.6250 0.6250  4 S 2.44
S 0.0211 0.3369 0.4239  1 Ge 2.44, 1 In 2.48
S 0.2819 0.5761 0.6631  1 Ge 2.44, 1 In 2.48
S 0.3369 0.0211 0.7181  1 Ge 2.44, 1 In 2.48
S 0.4239 0.7181 0.0211  1 Ge 2.44, 1 In 2.48
S 0.5761 0.2819 0.9789  1 Ge 2.44, 1 In 2.48
S 0.6631 0.9789 0.2819  1 Ge 2.44, 1 In 2.48
S 0.7181 0.4239 0.3369  1 Ge 2.44, 1 In 2.48
S 0.9789 0.6631 0.5761  1 Ge 2.44, 1 In 2.48

Calculated values
**SG**: Fddd, No. 70
**Uncorrected energy**: -3.934 eV per atom
**Total magnetization**: 0.083 μB/atom


4.
The following is a DFT calculation (PBE) of crystalline RbScInGe2 at its relaxed geometry.

Cell lengths 5.2393, 5.2393, 6.0304 Å; angles 90.00, 90.00, 90.00 degrees
With the nearest neighbours (Å) after each atom.
Fractional coordinates of all 5 atoms:
Rb 0.0000 0.0000 0.0000  2 Sc 3.02
Sc 0.0000 0.0000 0.5000  4 Ge 2.62
In 0.5000 0.5000 0.0000  4 Rb 3.70, 8 Ge 3.99
Ge 0.0000 0.5000 0.5000  2 Sc 2.62
Ge 0.5000 0.0000 0.5000  2 Sc 2.62

Calculated values
**ΔE to the lowest computed polymorph**: 294 meV per atom
**SG**: P4/mmm, No. 123
**Uncorrected energy**: -3.461 eV per atom
**Total magnetization**: 0.000 μB/atom
**Energy relative to the elements**: 0.39 eV per atom


5.
The following is a DFT calculation (PBE) of crystalline RbScInGe2 at its relaxed geometry.

Cell lengths 5.2940, 5.2940, 5.7273 Å; angles 90.00, 90.00, 90.00 degrees
With the nearest neighbours (Å) after each atom.
Fractional coordinates of all 5 atoms:
Rb 0.0000 0.0000 0.0000  4 In 3.74, 8 Ge 3.90
Sc 0.5000 0.5000 0.5000  4 Ge 2.65, 2 In 2.86
In 0.5000 0.5000 0.0000  2 Sc 2.86
Ge 0.0000 0.5000 0.5000  2 Sc 2.65
Ge 0.5000 0.0000 0.5000  2 Sc 2.65

Calculated values
**ΔE to the lowest computed polymorph**: 0 meV per atom
**SG**: P4/mmm, No. 123
**Uncorrected energy**: -3.755 eV per atom
**Total magnetization**: 0.000 μB/atom
**Energy relative to the elements**: 0.10 eV per atom


6.
The following is a DFT calculation (PBE) of crystalline RbInGe2Se6 at its relaxed geometry.

Cell lengths 9.5654, 9.5654, 7.4069 Å; angles 107.50, 107.50, 86.00 degrees
With the nearest neighbours (Å) after each atom.
Fractional coordinates of all 20 atoms:
Rb 0.1945 0.8055 0.7500  6 Se 3.33-3.62
Rb 0.8055 0.1945 0.2500  6 Se 3.33-3.62
In 0.3290 0.6710 0.2500  4 Se 2.65-2.69
In 0.6710 0.3290 0.7500  4 Se 2.65-2.69
Ge 0.1343 0.2998 0.8160  4 Se 2.38-2.50
Ge 0.2998 0.1343 0.3160  4 Se 2.38-2.50
Ge 0.7002 0.8657 0.6840  4 Se 2.38-2.50
Ge 0.8657 0.7002 0.1840  4 Se 2.38-2.50
Se 0.0889 0.5791 0.2915  1 Ge 2.39, 1 In 2.65
Se 0.0960 0.1606 0.0242  2 Ge 2.43-2.50
Se 0.1606 0.0960 0.5242  2 Ge 2.43-2.50
Se 0.3345 0.4669 0.9108  1 Ge 2.38
Se 0.4209 0.9111 0.2085  1 Ge 2.39, 1 In 2.65
Se 0.4669 0.3345 0.4108  1 Ge 2.38
Se 0.5331 0.6655 0.5892  1 Ge 2.38
Se 0.5791 0.0889 0.7915  1 Ge 2.39, 1 In 2.65
Se 0.6655 0.5331 0.0892  1 Ge 2.38
Se 0.8394 0.9040 0.4758  2 Ge 2.43-2.50
Se 0.9040 0.8394 0.9758  2 Ge 2.43-2.50
Se 0.9111 0.4209 0.7085  1 Ge 2.39, 1 In 2.65

Calculated values
**SG**: C2/c, No. 15
**Uncorrected energy**: -3.859 eV per atom
**Total magnetization**: 0.000 μB/atom


7.
The following is a DFT calculation (PBE) of crystalline RbIn2SiGe at its relaxed geometry.

Cell lengths 5.4395, 5.4395, 6.5112 Å; angles 90.00, 90.00, 90.00 degrees
With the nearest neighbours (Å) after each atom.
Fractional coordinates of all 5 atoms:
Rb 0.0000 0.0000 0.0000  2 Ge 3.26
In 0.0000 0.5000 0.5000  2 Ge 2.72
In 0.5000 0.0000 0.5000  2 Ge 2.72
Si 0.5000 0.5000 0.0000  4 Rb 3.85, 8 In 4.24
Ge 0.0000 0.0000 0.5000  4 In 2.72

Calculated values
**SG**: P4/mmm, No. 123
**Uncorrected energy**: -2.584 eV per atom
**Total magnetization**: 0.406 μB/atom


8.
The following is a DFT calculation (PBE) of crystalline Rb2In3Sn4Ge at its relaxed geometry.

Cell lengths 5.2571, 5.2571, 11.6608 Å; angles 90.00, 90.00, 90.00 degrees
With the nearest neighbours (Å) after each atom.
Fractional coordinates of all 10 atoms:
Rb 0.0000 0.5000 0.2449  2 Ge 3.88, 6 In 3.88-3.99, 9 Sn 3.97-4.22
Rb 0.5000 0.0000 0.7551  2 Ge 3.88, 6 In 3.88-3.99, 9 Sn 3.97-4.22
In 0.0000 0.0000 0.0000  4 Sn 2.96
In 0.0000 0.5000 0.6310  5 Sn 2.94-3.04
In 0.5000 0.0000 0.3690  5 Sn 2.94-3.04
Sn 0.0000 0.0000 0.5000  4 In 3.04
Sn 0.0000 0.5000 0.8831  3 In 2.94-2.96, 2 Ge 2.96
Sn 0.5000 0.0000 0.1169  3 In 2.94-2.96, 2 Ge 2.96
Sn 0.5000 0.5000 0.5000  4 In 3.04
Ge 0.5000 0.5000 0.0000  4 Sn 2.96

Calculated values
**SG**: P-4m2, No. 115
**Uncorrected energy**: -3.206 eV per atom
**Total magnetization**: 0.000 μB/atom
**Energy relative to the elements**: -0.13 eV per atom


Number 1: volume 28.0 Å³/atom. Number 2: volume 27.4 Å³/atom. Number 3: volume 33.2 Å³/atom. Number 4: volume 33.1 Å³/atom. Number 5: volume 32.1 Å³/atom. Number 6: volume 30.8 Å³/atom. Number 7: volume 38.5 Å³/atom. Number 8: volume 32.2 Å³/atom.